# 1
Below is an optimized crystal structure of AcLa3Ce2P6, with properties calculated at the PBE-GGA level.

```
data_AcLa3Ce2P6
_chemical_formula_sum 'Ac1 La3 Ce2 P6'
_cell_length_a 7.352
_cell_length_b 7.352
_cell_length_c 7.354
_cell_angle_alpha 99.61
_cell_angle_beta 99.61
_cell_angle_gamma 119.98
_space_group_name_H-M_alt 'P 1'
_space_group_IT_number 1
loop_
_space_group_symop_operation_xyz
'x,y,z'
loop_
_atom_site_label
_atom_site_type_symbol
_atom_site_fract_x
_atom_site_fract_y
_atom_site_fract_z
Ac1 Ac 0.000 0.000 0.000
La1 La 0.165 0.835 0.500
La2 La 0.500 0.500 0.500
La3 La 0.835 0.165 0.500
Ce1 Ce 0.333 0.667 0.000
Ce2 Ce 0.667 0.333 0.000
P1 P 0.082 0.429 0.245
P2 P 0.266 0.266 0.756
P3 P 0.429 0.082 0.245
P4 P 0.571 0.918 0.755
P5 P 0.734 0.734 0.244
P6 P 0.918 0.571 0.755
```

Output
The volume comes out at 27.05 Å³ per atom. The calculation puts the total magnetization at 1.13 μB/f.u. As for the total energy: -81.41 eV per cell.

# 2
Below is an optimized crystal structure of HoSi4Ni2, with properties calculated at the PBE-GGA level.

```
data_HoSi4Ni2
_chemical_formula_sum 'Ho4 Si16 Ni8'
_cell_length_a 16.776
_cell_length_b 3.905
_cell_length_c 6.326
_cell_angle_alpha 90.00
_cell_angle_beta 90.00
_cell_angle_gamma 90.00
_space_group_name_H-M_alt 'P 1'
_space_group_IT_number 1
loop_
_space_group_symop_operation_xyz
'x,y,z'
loop_
_atom_site_label
_atom_site_type_symbol
_atom_site_fract_x
_atom_site_fract_y
_atom_site_fract_z
Ho1 Ho 0.139 0.250 0.041
Ho2 Ho 0.361 0.750 0.541
Ho3 Ho 0.639 0.250 0.459
Ho4 Ho 0.861 0.750 0.959
Si1 Si 0.021 0.750 0.130
Si2 Si 0.064 0.250 0.523
Si3 Si 0.181 0.750 0.706
Si4 Si 0.209 0.750 0.304
Si5 Si 0.291 0.250 0.804
Si6 Si 0.319 0.250 0.206
Si7 Si 0.436 0.750 0.023
Si8 Si 0.479 0.250 0.630
Si9 Si 0.521 0.750 0.370
Si10 Si 0.564 0.250 0.977
Si11 Si 0.681 0.750 0.794
Si12 Si 0.709 0.750 0.196
Si13 Si 0.791 0.250 0.696
Si14 Si 0.819 0.250 0.294
Si15 Si 0.936 0.750 0.477
Si16 Si 0.979 0.250 0.870
Ni1 Ni 0.038 0.750 0.745
Ni2 Ni 0.209 0.250 0.497
Ni3 Ni 0.291 0.750 0.997
Ni4 Ni 0.462 0.250 0.245
Ni5 Ni 0.538 0.750 0.755
Ni6 Ni 0.709 0.250 0.003
Ni7 Ni 0.791 0.750 0.503
Ni8 Ni 0.962 0.250 0.255
```

Output
As for the uncorrected formation energy: -47.8 kJ per mole of atoms. The volume comes out at 14.80 Å³ per atom. The calculation puts the total magnetization at 0.00 μB/f.u. As for the total energy: -165.20 eV per cell.

# 3
Below is an optimized crystal structure of Er6TmSc3, with properties calculated at the PBE-GGA level.

```
data_Er6TmSc3
_chemical_formula_sum 'Er12 Tm2 Sc6'
_cell_length_a 11.104
_cell_length_b 11.104
_cell_length_c 6.175
_cell_angle_alpha 90.00
_cell_angle_beta 90.00
_cell_angle_gamma 130.49
_space_group_name_H-M_alt 'P 1'
_space_group_IT_number 1
loop_
_space_group_symop_operation_xyz
'x,y,z'
loop_
_atom_site_label
_atom_site_type_symbol
_atom_site_fract_x
_atom_site_fract_y
_atom_site_fract_z
Er1 Er 0.015 0.985 0.500
Er2 Er 0.104 0.540 0.972
Er3 Er 0.262 0.377 0.717
Er4 Er 0.302 0.698 0.509
Er5 Er 0.377 0.262 0.217
Er6 Er 0.460 0.896 0.972
Er7 Er 0.540 0.104 0.472
Er8 Er 0.623 0.738 0.717
Er9 Er 0.698 0.302 0.009
Er10 Er 0.738 0.623 0.217
Er11 Er 0.896 0.460 0.472
Er12 Er 0.985 0.015 0.000
Tm1 Tm 0.159 0.841 0.280
Tm2 Tm 0.841 0.159 0.780
Sc1 Sc 0.041 0.294 0.310
Sc2 Sc 0.294 0.041 0.810
Sc3 Sc 0.417 0.583 0.196
Sc4 Sc 0.583 0.417 0.696
Sc5 Sc 0.706 0.959 0.310
Sc6 Sc 0.959 0.706 0.810
```

Output
The volume comes out at 28.96 Å³ per atom. The calculation puts the total magnetization at 0.00 μB/f.u. As for the relative energy among the computed polymorphs: 0.000 eV/atom. As for the total energy: -99.17 eV per cell.

Q: Look up the total magnetization of the second one.
A: 0.00 μB/f.u.

Q: Number 2 is which compound?
A: HoSi4Ni2